Computed, not measured: a relaxed RbTlSbPt crystal at the GGA-PBE level of DFT.

## Properties
Formation energy from raw total energies, meV per atom: -356.9
Magnetic moment, μB per cell: 0.0
Symmetry: R3m
Mass density, g/cm3: 7.72

Geometry as extended XYZ:
```
4
Lattice="2.241 1.294 7.504 -2.241 1.294 7.504 0.000 -2.588 7.504" Properties=species:S:1:pos:R:3 pbc="T T T"
Rb 0.000 0.000 0.000
Tl 0.000 0.000 4.790
Sb 0.000 0.000 17.603
Pt 0.000 0.000 10.658
```